No. 1
Material: RbSn3Pd
Method: DFT, PBE
State: relaxed

a b c (Å): 5.9201 5.9201 5.9201
angles (deg): 90.00 90.00 90.00
Last column: nearest neighbours and their distance in Å.
Space group Pm-3m (No. 221)
One atom of each set of equivalent atoms:
1 Rb 0.0000 0.0000 0.0000 (multiplicity 1)  6 Sn 2.96
2 Sn 0.0000 0.0000 0.5000 (multiplicity 3)  2 Rb 2.96
3 Pd 0.5000 0.5000 0.5000 (multiplicity 1)  12 Sn 4.19

Results
The value obtained for the energy above the most stable polymorph in this dataset is 1.9233 eV/atom. Its formation enthalpy at 0 K is 8.0 eV/f.u.



No. 2
Material: LiTh2Ti
Method: DFT, PBE
State: relaxed

a b c (Å): 3.2918 3.2918 35.4177
angles (deg): 90.00 90.00 120.00
Last column: nearest neighbours and their distance in Å.
Space group R-3m (No. 166, hexagonal axes)
One atom of each set of equivalent atoms:
1 Li 0.0000 0.0000 0.0000 (multiplicity 3)  2 Th 3.28, 6 Li 3.29
2 Th 0.0000 0.0000 0.0927 (multiplicity 6)  3 Ti 3.24, 1 Li 3.28, 6 Th 3.29
3 Ti 0.0000 0.0000 0.5000 (multiplicity 3)  6 Th 3.24, 6 Ti 3.29

Results
The value obtained for the energy above the most stable polymorph in this dataset is 0.1586 eV/atom. Its formation enthalpy at 0 K is 1.5 eV/f.u.